# TeP2Au

TeP2Au after structural relaxation (PBE, Alexandria).

a b c (Å): 3.794 3.794 9.665
angles (deg): 90.00 90.00 131.33
Fractional coordinates of all 4 atoms:
Te: 0.000 0.000 0.537
Au: 0.500 0.500 0.776
P: 0.500 0.500 0.167
P: 0.000 0.000 0.020

Output
Space-group type: Cmm2 (35)
Total DFT energy (no corrections) in eV/atom: -3.88
Size of the total moment in μB/cell: 0.00
Density of states at the Fermi level in states/eV/cell: 2.55
Formation energy (no corrections) in eV per atom: 0.430

=====

# AgS3I

AgS3I after structural relaxation (PBE, Alexandria).

a b c (Å): 6.063 19.105 3.178
angles (deg): 60.33 105.20 96.10
Fractional coordinates of all 10 atoms:
S: 0.842 0.396 0.994
S: 0.720 0.733 0.403
I: 0.228 0.900 0.160
S: 0.158 0.604 0.006
S: 0.184 0.384 0.201
S: 0.816 0.616 0.799
Ag: 0.352 0.737 0.706
I: 0.772 0.100 0.840
Ag: 0.648 0.263 0.294
S: 0.280 0.267 0.597

Output
Space-group type: P-1 (2)
Total DFT energy (no corrections) in eV/atom: -3.28
Size of the total moment in μB/cell: 0.00
Density of states at the Fermi level in states/eV/cell: 8.55
Formation energy (no corrections) in eV per atom: 0.077

=====

# Li5PdPt

Li5PdPt after structural relaxation (PBE, Alexandria).

a b c (Å): 4.144 4.144 6.366
angles (deg): 90.00 90.00 89.93
Fractional coordinates of all 7 atoms:
Pt: 0.500 0.500 0.500
Li: 0.000 0.500 0.768
Pd: 0.000 0.000 0.000
Li: 0.000 0.500 0.232
Li: 0.500 0.000 0.768
Li: 0.500 0.000 0.232
Li: 0.000 0.000 0.500

Output
Space-group type: P4/mmm (123)
Total DFT energy (no corrections) in eV/atom: -3.27
Size of the total moment in μB/cell: 0.00
DFT formation energy in kJ per mole of atoms: -28.90
Density of states at the Fermi level in states/eV/cell: 2.39